(1)
A relaxed AlPd5Pb crystal. Source: the Alexandria database, functional PBE.

Cell: 4.1122 4.1122 7.0441 Å, 90.00 90.00 90.00°
With the nearest neighbours (Å) after each atom.
Fractional positions:
1 Al 0.5000 0.5000 0.0000  8 Pd 2.52
2 Pd 0.0000 0.5000 0.7920  2 Al 2.52
3 Pd 0.0000 0.5000 0.2080  2 Al 2.52
4 Pd 0.5000 0.0000 0.7920  2 Al 2.52
5 Pd 0.5000 0.0000 0.2080  2 Al 2.52
6 Pd 0.5000 0.5000 0.5000  4 Pb 2.91, 8 Pd 2.91
7 Pb 0.0000 0.0000 0.5000  12 Pd 2.91

Properties
* space group: No. 123
* ΔE to the lowest computed polymorph: 0.0 meV per atom


(2)
A relaxed Al2Pd9Pb crystal. Source: the Alexandria database, functional PBE.

Cell: 3.9918 3.9918 11.8545 Å, 90.00 90.00 90.00°
With the nearest neighbours (Å) after each atom.
Fractional positions:
1 Al 0.0000 0.0000 0.3404  12 Pd 2.74-2.82
2 Al 0.0000 0.0000 0.6596  12 Pd 2.74-2.82
3 Pd 0.5000 0.5000 0.0000  4 Pb 2.82, 8 Pd 2.94
4 Pd 0.5000 0.5000 0.3409  8 Pd 2.74-2.75, 4 Al 2.82
5 Pd 0.5000 0.5000 0.6591  8 Pd 2.74-2.75, 4 Al 2.82
6 Pd 0.5000 0.0000 0.1824  2 Al 2.74, 8 Pd 2.74-2.94, 2 Pb 2.94
7 Pd 0.5000 0.0000 0.5000  8 Pd 2.75-2.82, 4 Al 2.75
8 Pd 0.5000 0.0000 0.8176  2 Al 2.74, 8 Pd 2.74-2.94, 2 Pb 2.94
9 Pd 0.0000 0.5000 0.1824  2 Al 2.74, 8 Pd 2.74-2.94, 2 Pb 2.94
10 Pd 0.0000 0.5000 0.5000  8 Pd 2.75-2.82, 4 Al 2.75
11 Pd 0.0000 0.5000 0.8176  2 Al 2.74, 8 Pd 2.74-2.94, 2 Pb 2.94
12 Pb 0.0000 0.0000 0.0000  12 Pd 2.82-2.94

Properties
* space group: No. 123
* total energy: -63.9 eV per cell


(3)
A relaxed AlPd2Pb2 crystal. Source: the Alexandria database, functional PBE.

Cell: 6.7298 6.7298 4.7343 Å, 90.00 90.00 90.00°
With the nearest neighbours (Å) after each atom.
Fractional positions:
1 Pb 0.1690 0.6690 0.5000  6 Pd 2.93-3.20, 1 Pb 3.22
2 Pb 0.6690 0.8310 0.5000  6 Pd 2.93-3.20, 1 Pb 3.22
3 Pb 0.8310 0.3310 0.5000  6 Pd 2.93-3.20, 1 Pb 3.22
4 Pb 0.3310 0.1690 0.5000  6 Pd 2.93-3.20, 1 Pb 3.22
5 Al 0.0000 0.0000 0.0000  4 Pd 2.56
6 Al 0.5000 0.5000 0.0000  4 Pd 2.56
7 Pd 0.3498 0.8498 0.0000  2 Al 2.56, 1 Pd 2.86
8 Pd 0.8498 0.6502 0.0000  2 Al 2.56, 1 Pd 2.86
9 Pd 0.6502 0.1502 0.0000  2 Al 2.56, 1 Pd 2.86
10 Pd 0.1502 0.3498 0.0000  2 Al 2.56, 1 Pd 2.86

Properties
* space group: No. 127
* ΔE to the lowest computed polymorph: 0.0 meV per atom


(4)
A relaxed Al3PdPb crystal. Source: the Alexandria database, functional PBE.

Cell: 4.8205 4.8205 4.8205 Å, 90.00 90.00 90.00°
With the nearest neighbours (Å) after each atom.
Fractional positions:
1 Pb 0.5000 0.5000 0.5000  12 Al 3.41
2 Al 0.0000 0.5000 0.0000  2 Pd 2.41
3 Al 0.0000 0.0000 0.5000  2 Pd 2.41
4 Al 0.5000 0.0000 0.0000  2 Pd 2.41
5 Pd 0.0000 0.0000 0.0000  6 Al 2.41

Properties
* space group: No. 221
* ΔE to the lowest computed polymorph: 0.0 meV per atom


(5)
A relaxed AlPd2Pb2 crystal. Source: the Alexandria database, functional PBE.

Cell: 4.6934 4.6934 6.5551 Å, 69.02 69.02 90.00°
With the nearest neighbours (Å) after each atom.
Fractional positions:
1 Pb 0.7500 0.2500 0.5000  4 Pd 2.80
2 Pb 0.2500 0.7500 0.5000  4 Pd 2.80
3 Al 0.0000 0.0000 0.0000  8 Pd 3.56, 8 Pb 3.67
4 Pd 0.3856 0.3856 0.2288  1 Pd 2.59, 4 Pb 2.80
5 Pd 0.6144 0.6144 0.7712  1 Pd 2.59, 4 Pb 2.80

Properties
* space group: No. 139
* ΔE to the lowest computed polymorph: 441.3 meV per atom


(6)
A relaxed Al2PdPb crystal. Source: the Alexandria database, functional PBE.

Cell: 4.4994 4.4994 9.1843 Å, 75.82 75.82 90.00°
With the nearest neighbours (Å) after each atom.
Fractional positions:
1 Pb 0.0000 0.0000 0.0000  4 Al 2.86, 4 Pd 3.18
2 Pb 0.7500 0.2500 0.5000  4 Al 2.86, 4 Pd 3.18
3 Al 0.5394 0.1250 0.2500  2 Pd 2.54, 2 Al 2.69
4 Al 0.2106 0.6250 0.2500  2 Pd 2.54, 2 Al 2.69
5 Al 0.3750 0.4606 0.7500  2 Pd 2.54, 2 Al 2.69
6 Al 0.8750 0.7894 0.7500  2 Pd 2.54, 2 Al 2.69
7 Pd 0.5000 0.5000 0.0000  4 Al 2.54
8 Pd 0.2500 0.7500 0.5000  4 Al 2.54

Properties
* space group: No. 122
* total energy: -33.3 eV per cell


(7)
A relaxed AlPd12Pb6 crystal. Source: the Alexandria database, functional PBE.

Cell: 7.4648 7.4648 7.4648 Å, 103.65 103.65 103.65°
With the nearest neighbours (Å) after each atom.
Fractional positions:
1 Al 0.0000 0.0000 0.0000  6 Pd 2.49
2 Pd 0.8164 0.5220 0.4016  4 Pb 2.79-2.83, 6 Pd 2.91-3.02
3 Pd 0.4016 0.8164 0.5220  4 Pb 2.79-2.83, 6 Pd 2.91-3.02
4 Pd 0.5220 0.4016 0.8164  4 Pb 2.79-2.83, 6 Pd 2.91-3.02
5 Pd 0.1836 0.4780 0.5984  4 Pb 2.79-2.83, 6 Pd 2.91-3.02
6 Pd 0.5984 0.1836 0.4780  4 Pb 2.79-2.83, 6 Pd 2.91-3.02
7 Pd 0.4780 0.5984 0.1836  4 Pb 2.79-2.83, 6 Pd 2.91-3.02
8 Pd 0.8490 0.7356 0.1182  1 Al 2.49
9 Pd 0.2644 0.8818 0.1510  1 Al 2.49
10 Pd 0.8818 0.1510 0.2644  1 Al 2.49
11 Pd 0.1510 0.2644 0.8818  1 Al 2.49
12 Pd 0.7356 0.1182 0.8490  1 Al 2.49
13 Pd 0.1182 0.8490 0.7356  1 Al 2.49
14 Pb 0.7765 0.8934 0.4926  8 Pd 2.79-2.99
15 Pb 0.5074 0.2235 0.1066  8 Pd 2.79-2.99
16 Pb 0.1066 0.5074 0.2235  8 Pd 2.79-2.99
17 Pb 0.2235 0.1066 0.5074  8 Pd 2.79-2.99
18 Pb 0.4926 0.7765 0.8934  8 Pd 2.79-2.99
19 Pb 0.8934 0.4926 0.7765  8 Pd 2.79-2.99

Properties
* space group: No. 148
* total energy: -93.1 eV per cell


(8)
A relaxed AlPd2PtPb crystal. Source: the Alexandria database, functional PBE.

Cell: 5.0535 5.0479 5.0535 Å, 90.00 90.00 90.00°
With the nearest neighbours (Å) after each atom.
Fractional positions:
1 Pb 0.0000 0.5000 0.0000  2 Pt 2.52
2 Pd 0.0000 0.0000 0.5000  2 Pt 2.53
3 Pd 0.5000 0.0000 0.0000  2 Pt 2.53
4 Pt 0.0000 0.0000 0.0000  2 Pb 2.52, 4 Pd 2.53
5 Al 0.5000 0.5000 0.5000  8 Pd 3.57, 4 Pb 3.57

Properties
* space group: No. 123
* total energy: -20.3 eV per cell


(9)
A relaxed AlPd2PbSe crystal. Source: the Alexandria database, functional PBE.

Cell: 4.7202 5.0389 4.7202 Å, 90.00 90.00 90.00°
With the nearest neighbours (Å) after each atom.
Fractional positions:
1 Pb 0.5000 0.5000 0.5000  4 Se 3.34, 8 Pd 3.45
2 Se 0.0000 0.5000 0.0000  2 Al 2.52
3 Pd 0.0000 0.0000 0.5000  2 Al 2.36
4 Pd 0.5000 0.0000 0.0000  2 Al 2.36
5 Al 0.0000 0.0000 0.0000  4 Pd 2.36, 2 Se 2.52

Properties
* space group: No. 123
* formation energy from raw total energies: -0.030 eV/atom


(10)
A relaxed Sr2AlPd6Pb crystal. Source: the Alexandria database, functional PBE.

Cell: 7.1138 6.7527 6.7634 Å, 49.79 78.16 97.56°
With the nearest neighbours (Å) after each atom.
Fractional positions:
1 Sr 0.7199 0.2523 0.5328  7 Pd 3.19-3.52
2 Sr 0.2801 0.7477 0.4671  7 Pd 3.19-3.52
3 Al 0.0000 0.0000 0.0000  6 Pd 2.50-2.54
4 Pd 0.2270 0.2379 0.5165  1 Al 2.50, 2 Pd 2.72-2.80, 1 Pb 2.73
5 Pd 0.9078 0.7514 0.8495  1 Al 2.54, 4 Pd 2.72-2.80, 1 Pb 2.76
6 Pd 0.2294 0.7468 0.0094  1 Al 2.50, 2 Pd 2.72-2.79, 1 Pb 2.72
7 Pd 0.7706 0.2532 0.9906  1 Al 2.50, 2 Pd 2.72-2.79, 1 Pb 2.72
8 Pd 0.0922 0.2486 0.1505  1 Al 2.54, 4 Pd 2.72-2.80, 1 Pb 2.76
9 Pd 0.7730 0.7621 0.4835  1 Al 2.50, 2 Pd 2.72-2.80, 1 Pb 2.73
10 Pb 0.5000 0.5000 0.0000  6 Pd 2.72-2.76

Properties
* space group: No. 2
* total energy: -47.3 eV per cell


(11)
A relaxed AlZnPdPb2 crystal. Source: the Alexandria database, functional PBE.

Cell: 5.2944 4.7868 5.2944 Å, 90.00 90.00 90.00°
With the nearest neighbours (Å) after each atom.
Fractional positions:
1 Pb 0.0000 0.0000 0.5000  2 Zn 2.65
2 Pb 0.5000 0.0000 0.0000  2 Zn 2.65
3 Zn 0.0000 0.0000 0.0000  2 Pd 2.39, 4 Pb 2.65
4 Al 0.5000 0.5000 0.5000  8 Pb 3.57, 4 Pd 3.74
5 Pd 0.0000 0.5000 0.0000  2 Zn 2.39

Properties
* space group: No. 123
* total energy: -15.3 eV per cell


(12)
A relaxed Pm5Al2Pb crystal. Source: the Alexandria database, functional PBE.

Cell: 8.1265 8.1265 9.2269 Å, 116.13 116.13 90.00°
With the nearest neighbours (Å) after each atom.
Fractional positions:
1 Pm 0.5223 0.6849 0.7071  3 Al 3.18-3.22, 2 Pb 3.37, 1 Pm 3.53
2 Pm 0.8151 0.9777 0.2929  3 Al 3.18-3.22, 2 Pb 3.37, 1 Pm 3.53
3 Pm 0.0000 0.0000 0.0000  4 Al 3.24, 2 Pb 3.61
4 Pm 0.5000 0.5000 0.0000  4 Al 3.24, 2 Pb 3.61
5 Pm 0.1849 0.0223 0.7071  3 Al 3.18-3.22, 2 Pb 3.37, 1 Pm 3.53
6 Pm 0.6849 0.1849 0.7071  3 Al 3.18-3.22, 2 Pb 3.37, 1 Pm 3.53
7 Pm 0.0223 0.5223 0.7071  3 Al 3.18-3.22, 2 Pb 3.37, 1 Pm 3.53
8 Pm 0.3151 0.8151 0.2929  3 Al 3.18-3.22, 2 Pb 3.37, 1 Pm 3.53
9 Pm 0.9777 0.4777 0.2929  3 Al 3.18-3.22, 2 Pb 3.37, 1 Pm 3.53
10 Pm 0.4777 0.3151 0.2929  3 Al 3.18-3.22, 2 Pb 3.37, 1 Pm 3.53
11 Al 0.1201 0.3799 0.0000  1 Al 2.76
12 Al 0.6201 0.1201 0.0000  1 Al 2.76
13 Al 0.3799 0.8799 0.0000  1 Al 2.76
14 Al 0.8799 0.6201 0.0000  1 Al 2.76
15 Pb 0.7500 0.7500 0.5000  10 Pm 3.37-3.61
16 Pb 0.2500 0.2500 0.5000  10 Pm 3.37-3.61

Properties
* space group: No. 140
* total energy: -75.7 eV per cell


| no. | total moment (μB/cell) |
| --- | --- |
| 1 | 0.000 |
| 2 | 0.000 |
| 3 | 0.000 |
| 4 | 0.000 |
| 5 | 0.000 |
| 6 | 0.000 |
| 7 | 0.000 |
| 8 | 0.000 |
| 9 | 0.000 |
| 10 | 0.000 |
| 11 | 0.000 |
| 12 | 0.039 |